# 1
Compound: Re2AuF
Source: Alexandria via LeMat-Bulk
Functional: PBE
Structure: relaxed

abc: 4.355 4.355 4.355
angles: 60.00 60.00 60.00
Atoms (fractional coordinates):
Re 0.250 0.250 0.250
Re 0.750 0.750 0.750
Au 0.500 0.500 0.500
F 0.000 0.000 0.000

Calculated values
Theoretical density, Mg/m³: 16.73
Symmetry: Fm-3m
Final energy, eV/atom: -6.703
Excess energy over the best structure of this formula in the dataset, meV/atom: 115


# 2
Compound: Ca2SbCl
Source: Alexandria via LeMat-Bulk
Functional: PBE
Structure: relaxed

abc: 5.426 5.426 5.426
angles: 126.19 114.37 89.82
Atoms (fractional coordinates):
Sb 0.250 0.750 0.500
Ca 0.985 0.985 0.000
Ca 0.515 0.515 0.000
Cl 0.750 0.250 0.500

Calculated values
Theoretical density, Mg/m³: 3.55
Symmetry: Immm
Final energy, eV/atom: -3.854


# 3
Compound: Sc2AgHg3
Source: Alexandria via LeMat-Bulk
Functional: PBE
Structure: relaxed

abc: 4.890 6.027 8.618
angles: 90.00 90.00 90.00
Atoms (fractional coordinates):
Sc 0.500 0.696 0.836
Sc 0.500 0.196 0.164
Sc 0.000 0.306 0.665
Sc 0.000 0.806 0.335
Ag 0.500 0.508 0.504
Ag 0.500 0.008 0.496
Hg 0.000 0.492 0.998
Hg 0.000 0.992 0.002
Hg 0.500 0.697 0.179
Hg 0.500 0.197 0.821
Hg 0.000 0.301 0.338
Hg 0.000 0.801 0.662

Calculated values
Theoretical density, Mg/m³: 10.46
Symmetry: Pmc2_1
Final energy, eV/atom: -3.022
Formation energy, meV/atom: -286
Excess energy over the best structure of this formula in the dataset, meV/atom: 0


# 4
Compound: Ca3LaNd3Te8
Source: Alexandria via LeMat-Bulk
Functional: PBE
Structure: relaxed

abc: 8.973 8.972 9.040
angles: 119.76 90.00 120.00
Atoms (fractional coordinates):
Ca 0.000 0.000 0.000
Ca 0.000 0.500 0.000
Ca 0.500 0.500 0.000
La 0.000 0.000 0.500
Nd 0.500 0.000 0.500
Nd 0.500 0.500 0.500
Nd 0.000 0.500 0.500
Te 0.249 0.497 0.246
Te 0.751 0.503 0.754
Te 0.745 0.490 0.244
Te 0.255 0.510 0.756
Te 0.745 0.999 0.245
Te 0.255 0.001 0.755
Te 0.254 0.999 0.245
Te 0.746 0.001 0.755

Calculated values
Theoretical density, Mg/m³: 5.51
Symmetry: R-3m
Final energy, eV/atom: -4.892


# 5
Compound: Tl2SnAu
Source: Alexandria via LeMat-Bulk
Functional: PBE
Structure: relaxed

abc: 4.703 4.721 6.679
angles: 69.44 69.38 60.12
Atoms (fractional coordinates):
Tl 0.906 0.672 0.516
Tl 0.689 0.448 0.174
Sn 0.123 0.886 0.868
Au 0.492 0.256 0.760

Calculated values
Theoretical density, Mg/m³: 10.24
Symmetry: Cm
Final energy, eV/atom: -3.045
Formation energy, meV/atom: -42
Excess energy over the best structure of this formula in the dataset, meV/atom: 0


# 6
Compound: LaTbDy2Ho
Source: Alexandria via LeMat-Bulk
Functional: PBE
Structure: relaxed

abc: 7.227 8.440 7.146
angles: 126.20 90.00 90.00
Atoms (fractional coordinates):
La 0.250 0.732 0.464
La 0.750 0.268 0.536
Tb 0.250 0.999 0.997
Tb 0.750 0.001 0.003
Dy 0.500 0.310 0.000
Dy 0.000 0.690 0.000
Dy 0.500 0.690 0.000
Dy 0.000 0.310 0.000
Ho 0.750 0.721 0.442
Ho 0.250 0.279 0.558

Calculated values
Theoretical density, Mg/m³: 7.44
Symmetry: Cmcm
Final energy, eV/atom: -4.304
Formation energy, meV/atom: 364


# 7
Compound: CdB
Source: Alexandria via LeMat-Bulk
Functional: PBE
Structure: relaxed

abc: 5.339 5.339 5.339
angles: 90.00 90.00 90.00
Atoms (fractional coordinates):
Cd 0.000 0.000 0.000
Cd 0.000 0.500 0.500
Cd 0.500 0.000 0.500
Cd 0.500 0.500 0.000
B 0.250 0.250 0.250
B 0.250 0.750 0.750
B 0.750 0.250 0.750
B 0.750 0.750 0.250

Calculated values
Theoretical density, Mg/m³: 5.38
Symmetry: F-43m
Final energy, eV/atom: -2.235
Formation energy, meV/atom: 1561
Excess energy over the best structure of this formula in the dataset, meV/atom: 1197


# 8
Compound: InTePt
Source: Alexandria via LeMat-Bulk
Functional: PBE
Structure: relaxed

abc: 7.152 6.978 6.770
angles: 90.00 119.45 90.00
Atoms (fractional coordinates):
Te 0.653 0.972 0.879
Te 0.847 0.472 0.121
Te 0.347 0.028 0.121
Te 0.153 0.528 0.879
In 0.117 0.791 0.462
In 0.383 0.291 0.538
In 0.883 0.209 0.538
In 0.617 0.709 0.462
Pt 0.978 0.885 0.773
Pt 0.522 0.385 0.227
Pt 0.022 0.115 0.227
Pt 0.478 0.615 0.773

Calculated values
Theoretical density, Mg/m³: 9.88
Symmetry: P2_1/c
Final energy, eV/atom: -4.327